No. 1
NaTb4PaS8 PBE optimized geometry; calculated volume = 27.2 A^3/atom; energy = -87.85 eV/cell; SG = R3m; total magnetization = 1.65 μB per cell
1.0
8.117 0.000 0.000
4.059 7.030 0.000
4.059 2.343 6.669
S Tb Na Pa
8 4 1 1
Direct
0.783 0.237 0.743
0.239 0.239 0.282
0.227 0.757 0.258
0.757 0.227 0.258
0.757 0.757 0.258
0.759 0.759 0.722
0.237 0.783 0.743
0.237 0.237 0.743
0.627 0.627 0.118
0.490 0.004 0.501
0.004 0.004 0.501
0.004 0.490 0.501
0.374 0.374 0.879
0.003 0.003 0.992

No. 2
Al5Sb PBE optimized geometry; calculated volume = 19.0 A^3/atom; ΔE to the lowest computed polymorph = 0.090 eV/atom; energy = -21.58 eV/cell; SG = F-43m; total magnetization = 0.00 μB per cell
1.0
0.000 3.847 3.847
3.847 0.000 3.847
3.847 3.847 0.000
Al Sb
5 1
Direct
0.250 0.250 0.250
0.624 0.624 0.127
0.624 0.624 0.624
0.127 0.624 0.624
0.624 0.127 0.624
0.000 0.000 0.000

No. 3
Mg3Ge2Ir PBE optimized geometry; calculated volume = 19.2 A^3/atom; energy = -97.75 eV/cell; SG = P2_1/c; total magnetization = 0.00 μB per cell; E_form = -0.26 eV/atom
1.0
2.553 3.726 -5.797
-3.816 -4.221 -4.393
-9.424 1.596 6.651
Mg Ge Ir
12 8 4
Direct
0.841 0.611 0.515
0.722 0.447 0.877
0.341 0.889 0.015
0.340 0.779 0.614
0.840 0.721 0.114
0.159 0.389 0.485
0.160 0.279 0.886
0.660 0.221 0.386
0.222 0.053 0.377
0.778 0.947 0.623
0.659 0.111 0.985
0.278 0.553 0.123
0.688 0.384 0.178
0.312 0.616 0.822
0.330 0.616 0.383
0.188 0.116 0.678
0.812 0.884 0.322
0.830 0.884 0.883
0.170 0.116 0.117
0.670 0.384 0.617
0.028 0.368 0.189
0.972 0.632 0.811
0.528 0.132 0.689
0.472 0.868 0.311

No. 4
Ho6Ag5Pb PBE optimized geometry; calculated volume = 24.5 A^3/atom; energy = -49.57 eV/cell; SG = Cmmm; total magnetization = 0.00 μB per cell; E_form = -0.35 eV/atom
1.0
-2.200 2.657 -3.840
-2.880 -6.202 -2.641
-7.430 2.406 2.451
Ag Pb Ho
5 1 6
Direct
0.665 0.500 0.670
0.000 0.500 0.000
0.335 0.500 0.330
0.668 0.000 0.664
0.332 0.000 0.336
0.000 0.000 0.000
0.170 0.744 0.659
0.830 0.256 0.341
0.830 0.744 0.341
0.170 0.256 0.659
0.500 0.259 0.000
0.500 0.741 0.000

No. 5
CaCe4N5 PBE optimized geometry; calculated volume = 16.0 A^3/atom; energy = -81.49 eV/cell; SG = Immm; total magnetization = 1.39 μB per cell
1.0
-1.846 -1.539 -2.646
4.202 -0.372 -2.716
0.413 -7.077 6.242
N Ca Ce
5 1 4
Direct
0.607 0.107 0.215
0.000 0.500 0.000
0.393 0.893 0.785
0.804 0.304 0.608
0.196 0.696 0.392
0.000 0.000 0.000
0.801 0.801 0.602
0.401 0.401 0.803
0.599 0.599 0.197
0.199 0.199 0.398

No. 6
NdIn2Pt3 PBE optimized geometry; calculated volume = 22.1 A^3/atom; energy = -64.32 eV/cell; SG = Cmcm; total magnetization = 0.00 μB per cell; E_form = -0.63 eV/atom
1.0
5.724 0.000 0.000
0.000 6.775 0.664
0.000 -0.710 6.770
Pt In Nd
6 4 2
Direct
0.750 0.062 0.062
0.750 0.084 0.458
0.250 0.916 0.542
0.250 0.938 0.938
0.750 0.458 0.084
0.250 0.542 0.916
0.500 0.754 0.246
0.000 0.246 0.754
0.500 0.246 0.754
0.000 0.754 0.246
0.750 0.756 0.756
0.250 0.244 0.244

No. 7
BaCd9Pt2 PBE optimized geometry; calculated volume = 22.7 A^3/atom; energy = -51.66 eV/cell; SG = I4_1/amd; total magnetization = 0.00 μB per cell; E_form = -0.30 eV/atom
1.0
7.031 0.000 3.237
3.515 8.398 1.618
0.003 0.000 9.247
Cd Pt Ba
18 4 2
Direct
0.014 0.676 0.919
0.141 0.176 0.419
0.736 0.581 0.824
0.067 0.324 0.919
0.440 0.419 0.824
0.609 0.081 0.324
0.750 0.500 0.500
0.141 0.419 0.176
0.310 0.081 0.676
0.609 0.324 0.081
0.683 0.581 0.176
0.440 0.824 0.419
0.014 0.919 0.676
0.736 0.824 0.581
0.310 0.676 0.081
0.067 0.919 0.324
0.683 0.176 0.581
0.000 0.000 0.000
0.875 0.750 0.250
0.375 0.750 0.750
0.875 0.250 0.750
0.875 0.250 0.250
0.500 0.000 0.000
0.250 0.500 0.500

No. 8
Ti6CuH PBE optimized geometry; calculated volume = 14.6 A^3/atom; energy = -55.07 eV/cell; SG = P-1; total magnetization = 0.00 μB per cell
1.0
4.489 -0.164 -1.137
2.015 4.876 -0.926
1.160 1.275 4.870
Ti H Cu
6 1 1
Direct
0.623 0.241 0.118
0.377 0.759 0.882
0.231 0.038 0.341
0.069 0.366 0.779
0.931 0.634 0.221
0.769 0.962 0.659
0.000 0.000 0.000
0.500 0.500 0.500

No. 9
Ni2Pt2Pb PBE optimized geometry; calculated volume = 16.1 A^3/atom; ΔE to the lowest computed polymorph = 0.000 eV/atom; energy = -53.77 eV/cell; SG = P4/mbm; total magnetization = 1.38 μB per cell; E_form = 0.09 eV/atom
1.0
7.488 0.000 0.000
0.000 7.488 0.000
0.000 0.000 2.876
Pt Ni Pb
4 4 2
Direct
0.369 0.869 0.000
0.631 0.131 0.000
0.131 0.369 0.000
0.869 0.631 0.000
0.664 0.836 0.500
0.164 0.664 0.500
0.336 0.164 0.500
0.836 0.336 0.500
0.500 0.500 0.000
0.000 0.000 0.000

No. 10
LiYBr2 PBE optimized geometry; calculated volume = 27.3 A^3/atom; ΔE to the lowest computed polymorph = 0.140 eV/atom; energy = -16.04 eV/cell; SG = P2/m; total magnetization = 0.15 μB per cell
1.0
-2.703 -0.859 -2.101
2.203 -2.521 -1.803
-3.405 -4.468 6.208
Br Y Li
2 1 1
Direct
0.000 0.877 0.047
0.000 0.623 0.453
0.500 0.750 0.750
0.500 0.250 0.250

No. 11
SiSbPt3 PBE optimized geometry; calculated volume = 19.5 A^3/atom; ΔE to the lowest computed polymorph = 0.000 eV/atom; energy = -27.54 eV/cell; SG = Pm-3m; total magnetization = 0.00 μB per cell
1.0
-1.666 4.039 1.438
-0.886 -1.834 4.125
4.195 1.217 1.442
Sb Pt Si
1 3 1
Direct
0.500 0.500 0.500
0.000 0.500 0.000
0.500 0.000 0.000
0.000 0.000 0.500
0.000 0.000 0.000

No. 12
LaPt3 PBE optimized geometry; calculated volume = 39.0 A^3/atom; energy = -17.88 eV/cell; SG = Pm-3m; total magnetization = 0.00 μB per cell; E_form = 1.29 eV/atom
1.0
-2.761 -4.216 -1.889
4.147 -3.232 1.153
-2.038 -0.864 4.906
Pt La
3 1
Direct
0.000 0.500 0.000
0.500 0.000 0.000
0.000 0.000 0.500
0.000 0.000 0.000

No. 13
Sc2TiCuC PBE optimized geometry; calculated volume = 16.6 A^3/atom; energy = -35.31 eV/cell; SG = P4/mmm; total magnetization = 0.00 μB per cell; E_form = -0.29 eV/atom
1.0
4.505 0.000 0.000
0.000 4.505 0.000
0.000 0.000 4.098
Cu Sc Ti C
1 2 1 1
Direct
0.500 0.500 0.500
0.000 0.500 0.000
0.500 0.000 0.000
0.000 0.000 0.500
0.000 0.000 0.000

No. 14
KNa3Ta PBE optimized geometry; calculated volume = 46.4 A^3/atom; ΔE to the lowest computed polymorph = 0.000 eV/atom; energy = -10.91 eV/cell; SG = Pm-3m; total magnetization = 5.26 μB per cell; E_form = 1.20 eV/atom
1.0
6.147 0.000 0.000
0.000 6.147 0.000
0.000 0.000 6.147
Na Ta K
3 1 1
Direct
0.500 0.000 0.000
0.000 0.000 0.500
0.000 0.500 0.000
0.000 0.000 0.000
0.500 0.500 0.500

No. 15
MnHgS2 PBE optimized geometry; calculated volume = 18.9 A^3/atom; ΔE to the lowest computed polymorph = 0.943 eV/atom; energy = -15.60 eV/cell; SG = R-3m; total magnetization = 0.00 μB per cell
1.0
0.366 3.274 10.280
2.728 1.658 10.312
2.868 4.380 9.440
Mn S Hg
1 2 1
Direct
0.000 0.000 0.000
0.066 0.066 0.066
0.934 0.934 0.934
0.500 0.500 0.500

No. 16
AcEr2Sc PBE optimized geometry; calculated volume = 32.5 A^3/atom; ΔE to the lowest computed polymorph = 0.090 eV/atom; energy = -18.84 eV/cell; SG = Fm-3m; total magnetization = 0.00 μB per cell; E_form = 0.18 eV/atom
1.0
-3.440 4.528 0.057
-5.589 -0.684 0.801
-2.401 1.686 4.872
Er Sc Ac
2 1 1
Direct
0.250 0.250 0.250
0.750 0.750 0.750
0.500 0.500 0.500
0.000 0.000 0.000

No. 17
UGeN PBE optimized geometry; calculated volume = 17.7 A^3/atom; ΔE to the lowest computed polymorph = 0.086 eV/atom; energy = -53.64 eV/cell; SG = R-3m; total magnetization = 4.02 μB per cell
1.0
-2.175 0.567 -3.157
-3.844 -0.459 0.187
-2.847 7.894 1.001
U Ge N
2 2 2
Direct
0.390 0.390 0.831
0.610 0.610 0.169
0.856 0.856 0.432
0.144 0.144 0.568
0.702 0.702 0.894
0.298 0.298 0.106

No. 18
ZrBeCl2 PBE optimized geometry; calculated volume = 18.8 A^3/atom; ΔE to the lowest computed polymorph = 0.822 eV/atom; energy = -31.77 eV/cell; SG = I-42d; total magnetization = 0.00 μB per cell
1.0
5.546 0.000 0.000
0.000 5.546 0.000
2.773 2.773 4.898
Be Cl Zr
2 4 2
Direct
0.500 0.500 0.000
0.250 0.750 0.500
0.875 0.788 0.750
0.212 0.625 0.250
0.538 0.125 0.250
0.375 0.462 0.750
0.000 0.000 0.000
0.750 0.250 0.500

No. 19
TbTmZnNi PBE optimized geometry; calculated volume = 20.6 A^3/atom; ΔE to the lowest computed polymorph = 0.028 eV/atom; energy = -17.60 eV/cell; SG = F-43m; total magnetization = 0.00 μB per cell; E_form = -0.36 eV/atom
1.0
-3.994 -0.273 2.797
-1.721 -4.357 1.380
0.375 -1.409 4.661
Zn Tb Tm Ni
1 1 1 1
Direct
0.000 0.000 0.000
0.750 0.750 0.750
0.250 0.250 0.250
0.500 0.500 0.500

No. 20
K3TbTh2Se6 PBE optimized geometry; calculated volume = 30.3 A^3/atom; energy = -62.97 eV/cell; SG = C2/m; total magnetization = 0.00 μB per cell
1.0
-1.548 5.796 4.220
-4.999 -2.527 -4.736
-0.628 -5.850 5.679
Th Se K Tb
2 6 3 1
Direct
0.334 0.666 0.000
0.666 0.334 0.000
0.071 0.402 0.214
0.402 0.071 0.214
0.929 0.598 0.786
0.259 0.259 0.786
0.741 0.741 0.214
0.598 0.929 0.786
0.833 0.167 0.500
0.167 0.833 0.500
0.500 0.500 0.500
0.000 0.000 0.000

No. 21
AlTcBr2 PBE optimized geometry; calculated volume = 23.3 A^3/atom; ΔE to the lowest computed polymorph = 0.279 eV/atom; energy = -17.14 eV/cell; SG = Cmm2; total magnetization = 0.00 μB per cell
1.0
3.391 -0.004 0.000
-1.900 2.810 0.000
0.000 0.000 9.804
Br Tc Al
2 1 1
Direct
0.500 0.500 0.325
0.000 0.000 0.926
0.000 0.000 0.521
0.500 0.500 0.728

No. 22
Na2AcPaS4 PBE optimized geometry; calculated volume = 25.4 A^3/atom; energy = -45.37 eV/cell; SG = P2/m; total magnetization = 1.96 μB per cell
1.0
-3.423 -2.167 -0.741
4.038 -5.819 -1.636
-1.506 -0.027 7.032
S Ac Na Pa
4 1 2 1
Direct
0.500 0.730 0.758
0.500 0.270 0.242
0.000 0.272 0.767
0.000 0.728 0.233
0.000 0.000 0.000
0.500 0.000 0.500
0.000 0.500 0.500
0.500 0.500 0.000

No. 23
KOs2Ru2 PBE optimized geometry; calculated volume = 19.3 A^3/atom; ΔE to the lowest computed polymorph = 0.241 eV/atom; energy = -37.68 eV/cell; SG = I4/mmm; total magnetization = 0.00 μB per cell; E_form = 0.89 eV/atom
1.0
-4.080 -0.292 -1.521
0.928 -3.892 -1.742
-3.014 -4.356 2.660
K Os Ru
1 2 2
Direct
0.000 0.000 0.000
0.250 0.750 0.500
0.750 0.250 0.500
0.630 0.630 0.740
0.370 0.370 0.260

No. 24
Os2RuW PBE optimized geometry; calculated volume = 14.7 A^3/atom; ΔE to the lowest computed polymorph = 0.004 eV/atom; energy = -44.70 eV/cell; SG = P4/mmm; total magnetization = 0.00 μB per cell; E_form = 0.00 eV/atom
1.0
3.908 0.000 0.000
0.000 3.873 0.000
0.000 0.000 3.873
Os W Ru
2 1 1
Direct
0.000 0.500 0.500
0.000 0.000 0.000
0.500 0.000 0.500
0.500 0.500 0.000